Entry 1:
# TbHo6Er2Pu (PBE-GGA, optimized geometry)
data_TbHo6Er2Pu
_chemical_formula_sum 'Tb4 Ho24 Er8 Pu4'
_cell_length_a 9.328
_cell_length_b 15.336
_cell_length_c 8.665
_cell_angle_alpha 90.00
_cell_angle_beta 91.04
_cell_angle_gamma 90.00
_symmetry_space_group_name_H-M 'C 1 2/c 1'
_symmetry_Int_Tables_number 15
_symmetry_space_group_name_Hall '-C 2yc'
loop_
_atom_site_label
_atom_site_type_symbol
_atom_site_fract_x
_atom_site_fract_y
_atom_site_fract_z
Tb1 Tb 0.000 0.054 0.250
Ho1 Ho 0.069 0.150 0.930
Ho2 Ho 0.077 0.357 0.073
Ho3 Ho 0.245 0.284 0.690
Er1 Er 0.247 0.452 0.436
Pu1 Pu 0.000 0.442 0.750
# Formation energy = 1.63 eV/f.u.

---

Entry 2:
# Tb3Ho2Er6Pu (PBE-GGA, optimized geometry)
data_Tb3Ho2Er6Pu
_chemical_formula_sum 'Tb6 Ho4 Er12 Pu2'
_cell_length_a 6.083
_cell_length_b 10.538
_cell_length_c 11.600
_cell_angle_alpha 90.00
_cell_angle_beta 100.09
_cell_angle_gamma 90.00
_symmetry_space_group_name_H-M 'C 1 2/m 1'
_symmetry_Int_Tables_number 12
_symmetry_space_group_name_Hall '-C 2y'
loop_
_atom_site_label
_atom_site_type_symbol
_atom_site_fract_x
_atom_site_fract_y
_atom_site_fract_z
Tb1 Tb 0.000 0.000 0.000
Tb2 Tb 0.000 0.333 0.000
Ho1 Ho 0.000 0.167 0.500
Er1 Er 0.247 0.335 0.747
Er2 Er 0.247 0.500 0.253
Pu1 Pu 0.000 0.500 0.500
# Formation energy = 0.50 eV/f.u.

---

Entry 3:
# HoEr2Pu3Te6 (PBE-GGA, optimized geometry)
data_HoEr2Pu3Te6
_chemical_formula_sum 'Ho2 Er4 Pu6 Te12'
_cell_length_a 19.165
_cell_length_b 4.352
_cell_length_c 8.802
_cell_angle_alpha 90.00
_cell_angle_beta 104.32
_cell_angle_gamma 90.00
_symmetry_space_group_name_H-M 'C 1 2/m 1'
_symmetry_Int_Tables_number 12
_symmetry_space_group_name_Hall '-C 2y'
loop_
_atom_site_label
_atom_site_type_symbol
_atom_site_fract_x
_atom_site_fract_y
_atom_site_fract_z
Ho1 Ho 0.000 0.000 0.000
Er1 Er 0.167 0.500 0.333
Pu1 Pu 0.000 0.000 0.500
Pu2 Pu 0.166 0.500 0.833
Te1 Te 0.002 0.500 0.247
Te2 Te 0.165 0.000 0.088
Te3 Te 0.169 0.000 0.579
# Energy relative to the elements, uncorrected = -1.189 eV per atom

---

Entry 4:
# Ho2ErPu3Te6 (PBE-GGA, optimized geometry)
data_Ho2ErPu3Te6
_chemical_formula_sum 'Ho4 Er2 Pu6 Te12'
_cell_length_a 19.177
_cell_length_b 4.355
_cell_length_c 8.808
_cell_angle_alpha 90.00
_cell_angle_beta 104.30
_cell_angle_gamma 90.00
_symmetry_space_group_name_H-M 'C 1 2/m 1'
_symmetry_Int_Tables_number 12
_symmetry_space_group_name_Hall '-C 2y'
loop_
_atom_site_label
_atom_site_type_symbol
_atom_site_fract_x
_atom_site_fract_y
_atom_site_fract_z
Ho1 Ho 0.167 0.000 0.334
Er1 Er 0.000 0.500 0.000
Pu1 Pu 0.000 0.500 0.500
Pu2 Pu 0.167 0.000 0.834
Te1 Te 0.001 0.000 0.245
Te2 Te 0.165 0.500 0.087
Te3 Te 0.168 0.500 0.580
# Energy relative to the elements, uncorrected = -1.194 eV per atom

---

Entry 5:
# Ho3ErPu2Te6 (PBE-GGA, optimized geometry)
data_Ho3ErPu2Te6
_chemical_formula_sum 'Ho6 Er2 Pu4 Te12'
_cell_length_a 19.049
_cell_length_b 4.343
_cell_length_c 8.765
_cell_angle_alpha 90.00
_cell_angle_beta 103.72
_cell_angle_gamma 90.00
_symmetry_space_group_name_H-M 'C 1 2/m 1'
_symmetry_Int_Tables_number 12
_symmetry_space_group_name_Hall '-C 2y'
loop_
_atom_site_label
_atom_site_type_symbol
_atom_site_fract_x
_atom_site_fract_y
_atom_site_fract_z
Ho1 Ho 0.000 0.000 0.000
Ho2 Ho 0.169 0.500 0.334
Er1 Er 0.000 0.000 0.500
Pu1 Pu 0.166 0.500 0.833
Te1 Te 0.003 0.500 0.252
Te2 Te 0.165 0.000 0.087
Te3 Te 0.165 0.000 0.578
# Energy relative to the elements, uncorrected = -1.214 eV per atom

---

Entry 6:
# Ho3Er2PuTe6 (PBE-GGA, optimized geometry)
data_Ho3Er2PuTe6
_chemical_formula_sum 'Ho6 Er4 Pu2 Te12'
_cell_length_a 18.966
_cell_length_b 4.324
_cell_length_c 8.722
_cell_angle_alpha 90.00
_cell_angle_beta 103.42
_cell_angle_gamma 90.00
_symmetry_space_group_name_H-M 'C 1 2/m 1'
_symmetry_Int_Tables_number 12
_symmetry_space_group_name_Hall '-C 2y'
loop_
_atom_site_label
_atom_site_type_symbol
_atom_site_fract_x
_atom_site_fract_y
_atom_site_fract_z
Ho1 Ho 0.000 0.000 0.000
Ho2 Ho 0.164 0.500 0.335
Er1 Er 0.163 0.500 0.827
Pu1 Pu 0.000 0.000 0.500
Te1 Te 0.000 0.500 0.246
Te2 Te 0.169 0.000 0.082
Te3 Te 0.170 0.000 0.586
# Energy relative to the elements, uncorrected = -1.228 eV per atom

---

Entry 7:
# HoEr3Pu2Te6 (PBE-GGA, optimized geometry)
data_HoEr3Pu2Te6
_chemical_formula_sum 'Ho2 Er6 Pu4 Te12'
_cell_length_a 19.031
_cell_length_b 4.336
_cell_length_c 8.756
_cell_angle_alpha 90.00
_cell_angle_beta 103.76
_cell_angle_gamma 90.00
_symmetry_space_group_name_H-M 'C 1 2/m 1'
_symmetry_Int_Tables_number 12
_symmetry_space_group_name_Hall '-C 2y'
loop_
_atom_site_label
_atom_site_type_symbol
_atom_site_fract_x
_atom_site_fract_y
_atom_site_fract_z
Ho1 Ho 0.000 0.000 0.000
Er1 Er 0.000 0.000 0.500
Er2 Er 0.168 0.500 0.834
Pu1 Pu 0.166 0.500 0.333
Te1 Te 0.003 0.500 0.750
Te2 Te 0.165 0.000 0.588
Te3 Te 0.166 0.000 0.077
# Energy relative to the elements, uncorrected = -1.204 eV per atom

---

Entry 8:
# HoErPuTh (PBE-GGA, optimized geometry)
data_HoErPuTh
_chemical_formula_sum 'Ho4 Er4 Pu4 Th4'
_cell_length_a 7.846
_cell_length_b 7.846
_cell_length_c 7.846
_cell_angle_alpha 90.00
_cell_angle_beta 90.00
_cell_angle_gamma 90.00
_symmetry_space_group_name_H-M 'F -4 3 m'
_symmetry_Int_Tables_number 216
_symmetry_space_group_name_Hall 'F -4 2 3'
loop_
_atom_site_label
_atom_site_type_symbol
_atom_site_fract_x
_atom_site_fract_y
_atom_site_fract_z
Ho1 Ho 0.000 0.000 0.000
Er1 Er 0.250 0.250 0.750
Pu1 Pu 0.250 0.250 0.250
Th1 Th 0.000 0.000 0.500
# Formation energy = 0.80 eV/f.u.

---

Entry 9:
# HoEr2PuTl4 (PBE-GGA, optimized geometry)
data_HoEr2PuTl4
_chemical_formula_sum 'Ho3 Er6 Pu3 Tl12'
_cell_length_a 5.3595
_cell_length_b 5.3595
_cell_length_c 26.2570
_cell_angle_alpha 90.00
_cell_angle_beta 90.00
_cell_angle_gamma 120.00
_symmetry_space_group_name_H-M 'R -3 m'
_symmetry_Int_Tables_number 166
_symmetry_space_group_name_Hall '-R 3 2"'
loop_
_atom_site_label
_atom_site_type_symbol
_atom_site_fract_x
_atom_site_fract_y
_atom_site_fract_z
Ho1 Ho 0.0000 0.0000 0.0000
Er1 Er 0.0000 0.0000 0.2481
Pu1 Pu 0.0000 0.0000 0.5000
Tl1 Tl 0.0000 0.0000 0.1231
Tl2 Tl 0.0000 0.0000 0.3732
# Formation energy = -1.80 eV/f.u.

---

Entry 10:
# HoErPuTl (PBE-GGA, optimized geometry)
data_HoErPuTl
_chemical_formula_sum 'Ho4 Er4 Pu4 Tl4'
_cell_length_a 7.625
_cell_length_b 7.625
_cell_length_c 7.625
_cell_angle_alpha 90.00
_cell_angle_beta 90.00
_cell_angle_gamma 90.00
_symmetry_space_group_name_H-M 'F -4 3 m'
_symmetry_Int_Tables_number 216
_symmetry_space_group_name_Hall 'F -4 2 3'
loop_
_atom_site_label
_atom_site_type_symbol
_atom_site_fract_x
_atom_site_fract_y
_atom_site_fract_z
Ho1 Ho 0.000 0.000 0.000
Er1 Er 0.000 0.000 0.500
Pu1 Pu 0.250 0.250 0.750
Tl1 Tl 0.250 0.250 0.250
# Formation energy = 0.22 eV/f.u.

---

Entry 11:
# HoEr3Tm6Pu2 (PBE-GGA, optimized geometry)
data_HoEr3Tm6Pu2
_chemical_formula_sum 'Ho2 Er6 Tm12 Pu4'
_cell_length_a 6.018
_cell_length_b 10.421
_cell_length_c 11.514
_cell_angle_alpha 90.00
_cell_angle_beta 99.99
_cell_angle_gamma 90.00
_symmetry_space_group_name_H-M 'C 1 2/m 1'
_symmetry_Int_Tables_number 12
_symmetry_space_group_name_Hall '-C 2y'
loop_
_atom_site_label
_atom_site_type_symbol
_atom_site_fract_x
_atom_site_fract_y
_atom_site_fract_z
Ho1 Ho 0.000 0.000 0.000
Er1 Er 0.000 0.166 0.500
Er2 Er 0.000 0.500 0.500
Tm1 Tm 0.246 0.500 0.248
Tm2 Tm 0.249 0.331 0.752
Pu1 Pu 0.000 0.333 0.000
# Formation energy = 0.79 eV/f.u.

---

Entry 12:
# Ho2Er6Tm3Pu (PBE-GGA, optimized geometry)
data_Ho2Er6Tm3Pu
_chemical_formula_sum 'Ho4 Er12 Tm6 Pu2'
_cell_length_a 6.055
_cell_length_b 10.487
_cell_length_c 11.550
_cell_angle_alpha 90.00
_cell_angle_beta 100.08
_cell_angle_gamma 90.00
_symmetry_space_group_name_H-M 'C 1 2/m 1'
_symmetry_Int_Tables_number 12
_symmetry_space_group_name_Hall '-C 2y'
loop_
_atom_site_label
_atom_site_type_symbol
_atom_site_fract_x
_atom_site_fract_y
_atom_site_fract_z
Ho1 Ho 0.000 0.167 0.000
Er1 Er 0.246 0.500 0.751
Er2 Er 0.249 0.335 0.249
Tm1 Tm 0.000 0.000 0.500
Tm2 Tm 0.000 0.333 0.500
Pu1 Pu 0.000 0.500 0.000
# Formation energy = 0.53 eV/f.u.